Material: Sr2TlCo2
Method: DFT, GGA-PBE
State: optimized geometry

abc: 7.305 7.305 4.669
angles: 90.00 90.00 90.00
Positions (direct):
Sr: 0.179 0.679 0.500
Sr: 0.679 0.821 0.500
Sr: 0.821 0.321 0.500
Sr: 0.321 0.179 0.500
Tl: 0.000 0.000 0.000
Tl: 0.500 0.500 0.000
Co: 0.393 0.893 0.000
Co: 0.893 0.607 0.000
Co: 0.607 0.107 0.000
Co: 0.107 0.393 0.000

- formation enthalpy at 0 K (eV per atom) = 0.1974
- M_tot (μB/f.u.) = 2.4
- space group = P4/mbm
- electronic total energy (eV per atom) = -3.791
- DOS(E_F) (states/eV/f.u.) = 7.04

***

Material: KTaHg
Method: DFT, GGA-PBE
State: optimized geometry

abc: 7.099 7.099 7.099
angles: 156.91 141.98 44.96
Positions (direct):
Hg: 0.045 0.045 0.000
K: 0.339 0.339 0.000
Ta: 0.617 0.617 0.000

- formation enthalpy at 0 K (eV per atom) = 0.7990
- M_tot (μB/f.u.) = 0.1
- space group = Imm2
- energy relative to the lowest polymorph listed for this composition (eV per atom) = 0.5111
- electronic total energy (eV per atom) = -3.618
- DOS(E_F) (states/eV/f.u.) = 2.85

***

Material: Pr2HgAu
Method: DFT, GGA-PBE
State: optimized geometry

abc: 4.200 4.200 8.486
angles: 75.67 75.67 60.00
Positions (direct):
Pr: 0.076 0.076 0.771
Pr: 0.257 0.257 0.228
Hg: 0.500 0.500 0.499
Au: 0.666 0.666 0.002

- formation enthalpy at 0 K (eV per atom) = -0.4788
- M_tot (μB/f.u.) = 0.0
- space group = R3m
- energy relative to the lowest polymorph listed for this composition (eV per atom) = 0.1274
- electronic total energy (eV per atom) = -3.763
- DOS(E_F) (states/eV/f.u.) = 4.17